P:
First-principles (SCAN) data for a crystal of LiMnP2 relaxed with PBEsol, as listed in the Alexandria database.

The space group is Fm-3m (No. 225) and the conventional cell measures 5.621, 5.621 and 5.621 Å, with angles of 90.00, 90.00 and 90.00 degrees. The inequivalent atoms are Li at (0.000, 0.000, 0.000), Mn at (0.000, 0.000, 0.500) and P at (0.250, 0.250, 0.250).

Its density of states at the Fermi level is 0.6876 states/eV per atom. For the volume, the calculation gives 177.6 Å³ per cell.

Q:
First-principles (SCAN) data for a crystal of LiMnP2 relaxed with PBEsol, as listed in the Alexandria database.

The space group is C2/m (No. 12) and the conventional cell measures 5.296, 6.978 and 2.677 Å, with angles of 90.00, 97.21 and 90.00 degrees. The inequivalent atoms are Li at (0.000, 0.000, 0.000), Mn at (0.000, 0.500, 0.000) and P at (0.250, 0.250, 0.500).

Its density of states at the Fermi level is 0.3919 states/eV per atom. For the volume, the calculation gives 98.2 Å³ per cell.

Least stable = P

P:
First-principles (SCAN) data for a crystal of LiMnP2 relaxed with PBEsol, as listed in the Alexandria database.

The space group is P4/mmm (No. 123) and the conventional cell measures 3.828, 3.828 and 3.408 Å, with angles of 90.00, 90.00 and 90.00 degrees. The inequivalent atoms are Li at (0.000, 0.000, 0.000), Mn at (0.500, 0.500, 0.000) and P at (0.000, 0.500, 0.500).

Its density of states at the Fermi level is 0.3676 states/eV per atom. For the volume, the calculation gives 49.9 Å³ per cell.

Q:
First-principles (SCAN) data for a crystal of LiMnP2 relaxed with PBEsol, as listed in the Alexandria database.

The space group is I-4m2 (No. 119) and the conventional cell measures 3.455, 3.455 and 8.165 Å, with angles of 90.00, 90.00 and 90.00 degrees. The inequivalent atoms are Li at (0.000, 0.000, 0.000), Mn at (0.000, 0.500, 0.250), P at (0.000, 0.000, 0.500) and P at (0.000, 0.500, 0.750).

Its density of states at the Fermi level is 0.3917 states/eV per atom. For the volume, the calculation gives 97.4 Å³ per cell.

Least stable = P

P:
First-principles (SCAN) data for a crystal of Li2MnRe relaxed with PBEsol, as listed in the Alexandria database.

The space group is P4/mmm (No. 123) and the conventional cell measures 2.432, 2.432 and 8.863 Å, with angles of 90.00, 90.00 and 90.00 degrees. The inequivalent atoms are Li at (0.000, 0.000, 0.245), Mn at (0.500, 0.500, 0.000) and Re at (0.500, 0.500, 0.500).

Its density of states at the Fermi level is 0.5748 states/eV per atom. For the volume, the calculation gives 52.4 Å³ per cell.

Q:
First-principles (SCAN) data for a crystal of Li2MnRe relaxed with PBEsol, as listed in the Alexandria database.

The space group is F-43m (No. 216) and the conventional cell measures 5.719, 5.719 and 5.719 Å, with angles of 90.00, 90.00 and 90.00 degrees. The inequivalent atoms are Li at (0.000, 0.000, 0.000), Li at (0.250, 0.250, 0.250), Mn at (0.250, 0.250, 0.750) and Re at (0.000, 0.000, 0.500).

Its density of states at the Fermi level is 0.6725 states/eV per atom. For the volume, the calculation gives 187.1 Å³ per cell.

Least stable = Q

P:
First-principles (SCAN) data for a crystal of LiMnRu2 relaxed with PBEsol, as listed in the Alexandria database.

The space group is C2/m (No. 12) and the conventional cell measures 8.426, 2.632 and 4.610 Å, with angles of 90.00, 100.22 and 90.00 degrees. The inequivalent atoms are Li at (0.000, 0.000, 0.000), Mn at (0.000, 0.500, 0.500) and Ru at (0.239, 0.000, 0.749).

Its density of states at the Fermi level is 0.7656 states/eV per atom. For the volume, the calculation gives 100.6 Å³ per cell.

Q:
First-principles (SCAN) data for a crystal of LiMnRu2 relaxed with PBEsol, as listed in the Alexandria database.

The space group is I-4m2 (No. 119) and the conventional cell measures 3.579, 3.579 and 7.701 Å, with angles of 90.00, 90.00 and 90.00 degrees. The inequivalent atoms are Li at (0.000, 0.000, 0.000), Mn at (0.000, 0.500, 0.250), Ru at (0.000, 0.000, 0.500) and Ru at (0.000, 0.500, 0.750).

Its density of states at the Fermi level is 0.6054 states/eV per atom. For the volume, the calculation gives 98.7 Å³ per cell.

Least stable = Q

P:
First-principles (SCAN) data for a crystal of LiMnSb2 relaxed with PBEsol, as listed in the Alexandria database.

The space group is R-3m (No. 166, hexagonal axes) and the conventional cell measures 3.3630, 3.3630 and 24.2539 Å, with angles of 90.00, 90.00 and 120.00 degrees. The inequivalent atoms are Li at (0.0000, 0.0000, 0.0000), Mn at (0.0000, 0.0000, 0.5000) and Sb at (0.0000, 0.0000, 0.2405).

Its density of states at the Fermi level is 0.3759 states/eV per atom. For the volume, the calculation gives 237.6 Å³ per cell.

Q:
First-principles (SCAN) data for a crystal of LiMnSb2 relaxed with PBEsol, as listed in the Alexandria database.

The space group is C2/m (No. 12) and the conventional cell measures 6.484, 7.816 and 3.122 Å, with angles of 90.00, 96.55 and 90.00 degrees. The inequivalent atoms are Li at (0.000, 0.000, 0.000), Mn at (0.000, 0.500, 0.000) and Sb at (0.250, 0.250, 0.500).

Its density of states at the Fermi level is 0.3978 states/eV per atom. For the volume, the calculation gives 157.2 Å³ per cell.

R:
First-principles (SCAN) data for a crystal of LiMnSb2 relaxed with PBEsol, as listed in the Alexandria database.

The space group is P4mm (No. 99) and the conventional cell measures 3.754, 3.754 and 5.487 Å, with angles of 90.00, 90.00 and 90.00 degrees. The inequivalent atoms are Li at (0.000, 0.000, 0.000), Mn at (0.500, 0.500, 0.331), Sb at (0.000, 0.000, 0.480) and Sb at (0.500, 0.500, 0.840).

Its density of states at the Fermi level is 0.4665 states/eV per atom. For the volume, the calculation gives 77.3 Å³ per cell.

Least stable = R